[1]
! Cs2HgMoP meta-GGA SCAN single point on PBEsol structure; values from VASP
! * formation energy from the elements: 0.8377 eV/atom
! * ρ: 4.3 Mg/m³
! * total magnetic moment: 5.4 μB/f.u.
! * D(E_F): 0.9 states/eV/f.u.
&SYSTEM
  ibrav = 0, nat = 5, ntyp = 4
/
ATOMIC_SPECIES
Cs 132.91 Cs.upf
P 30.97 P.upf
Mo 95.94 Mo.upf
Hg 200.59 Hg.upf
CELL_PARAMETERS angstrom
4.751 0.000 0.000
0.000 6.946 0.000
0.000 0.000 6.946
ATOMIC_POSITIONS crystal
Cs 0.000 0.000 0.500
Cs 0.000 0.500 0.000
P 0.500 0.000 0.000
Mo 0.500 0.500 0.500
Hg 0.000 0.000 0.000

=====

[2]
! CsNbHg2N meta-GGA SCAN single point on PBEsol structure; values from VASP
! * total DFT energy (no corrections): -41.323 eV/atom
! * ρ: 6.9 Mg/m³
! * total magnetic moment: 4.7 μB/f.u.
! * D(E_F): 4.5 states/eV/f.u.
&SYSTEM
  ibrav = 0, nat = 5, ntyp = 4
/
ATOMIC_SPECIES
Cs 132.91 Cs.upf
Nb 92.91 Nb.upf
Hg 200.59 Hg.upf
N 14.01 N.upf
CELL_PARAMETERS angstrom
-2.955 -1.637 2.569
2.773 -5.370 -0.232
3.340 1.517 4.809
ATOMIC_POSITIONS crystal
Cs 0.000 0.000 0.000
Nb 0.500 0.500 0.500
Hg 0.000 0.000 0.500
Hg 0.000 0.500 0.000
N 0.500 0.000 0.000

=====

[3]
! Cs2NaHg2 meta-GGA SCAN single point on PBEsol structure; values from VASP
! * ΔE to the lowest computed polymorph: 0.00 eV/f.u.
! * formation energy from the elements: -0.2380 eV/atom
! * ρ: 5.3 Mg/m³
! * total magnetic moment: 0.0 μB/f.u.
! * D(E_F): 2.4 states/eV/f.u.
&SYSTEM
  ibrav = 0, nat = 10, ntyp = 3
/
ATOMIC_SPECIES
Cs 132.91 Cs.upf
Na 22.99 Na.upf
Hg 200.59 Hg.upf
CELL_PARAMETERS angstrom
-0.194 -5.241 1.720
4.211 2.276 7.412
-7.747 1.573 3.918
ATOMIC_POSITIONS crystal
Cs 0.500 0.176 0.676
Cs 0.500 0.676 0.824
Cs 0.500 0.824 0.324
Cs 0.500 0.324 0.176
Na 0.000 0.000 0.000
Na 0.000 0.500 0.500
Hg 0.000 0.378 0.878
Hg 0.000 0.878 0.622
Hg 0.000 0.622 0.122
Hg 0.000 0.122 0.378

=====

[4]
! CsNa2Hg2 meta-GGA SCAN single point on PBEsol structure; values from VASP
! * ΔE to the lowest computed polymorph: 0.00 eV/f.u.
! * formation energy from the elements: -0.2106 eV/atom
! * ρ: 6.1 Mg/m³
! * total magnetic moment: 0.0 μB/f.u.
! * D(E_F): 2.9 states/eV/f.u.
&SYSTEM
  ibrav = 0, nat = 10, ntyp = 3
/
ATOMIC_SPECIES
Cs 132.91 Cs.upf
Na 22.99 Na.upf
Hg 200.59 Hg.upf
CELL_PARAMETERS angstrom
-3.356 -0.263 -1.694
-2.276 -6.935 5.584
-3.507 5.996 6.017
ATOMIC_POSITIONS crystal
Cs 0.000 0.000 0.000
Cs 0.000 0.500 0.500
Na 0.500 0.164 0.664
Na 0.500 0.664 0.836
Na 0.500 0.836 0.336
Na 0.500 0.336 0.164
Hg 0.000 0.382 0.882
Hg 0.000 0.882 0.618
Hg 0.000 0.618 0.118
Hg 0.000 0.118 0.382

=====

[5]
! CsNa3Hg meta-GGA SCAN single point on PBEsol structure; values from VASP
! * formation energy from the elements: -0.1232 eV/atom
! * ρ: 3.1 Mg/m³
! * total magnetic moment: 0.0 μB/f.u.
! * D(E_F): 2.4 states/eV/f.u.
&SYSTEM
  ibrav = 0, nat = 5, ntyp = 3
/
ATOMIC_SPECIES
Cs 132.91 Cs.upf
Na 22.99 Na.upf
Hg 200.59 Hg.upf
CELL_PARAMETERS angstrom
6.010 0.000 0.000
0.000 6.010 0.000
0.000 0.000 6.010
ATOMIC_POSITIONS crystal
Cs 0.500 0.500 0.500
Na 0.000 0.500 0.000
Na 0.000 0.000 0.500
Na 0.500 0.000 0.000
Hg 0.000 0.000 0.000

=====

[6]
! CsNa2Hg2 meta-GGA SCAN single point on PBEsol structure; values from VASP
! * ΔE to the lowest computed polymorph: 0.03 eV/f.u.
! * formation energy from the elements: -0.2051 eV/atom
! * ρ: 5.3 Mg/m³
! * total magnetic moment: 0.0 μB/f.u.
! * D(E_F): 2.5 states/eV/f.u.
&SYSTEM
  ibrav = 0, nat = 5, ntyp = 3
/
ATOMIC_SPECIES
Cs 132.91 Cs.upf
Na 22.99 Na.upf
Hg 200.59 Hg.upf
CELL_PARAMETERS angstrom
-3.270 3.548 -2.884
-3.304 -4.284 -1.525
0.064 1.193 6.872
ATOMIC_POSITIONS crystal
Cs 0.000 0.000 0.000
Na 0.353 0.353 0.705
Na 0.647 0.647 0.295
Hg 0.250 0.750 0.500
Hg 0.750 0.250 0.500